# 1
Here is a geometry-optimized NaNdLu2 structure from Alexandria via LeMat-Bulk. Energies are from PBE.

```
4
Lattice="3.570 0.000 0.000 0.000 3.570 0.000 0.000 0.000 10.313" Properties=species:S:1:pos:R:3 pbc="T T T"
Na 1.785 1.785 5.156
Lu 0.000 0.000 7.926
Lu 0.000 0.000 2.386
Nd 1.785 1.785 0.000
```

Calculated values
The calculation puts the energy relative to the lowest polymorph listed for this composition at 0.000 eV/atom. The formation enthalpy at 0 K is 17.0 kJ/mol of atoms. For the density of states at the Fermi level, the calculation gives 5.08 states/eV per cell. For the volume, the calculation gives 131.41 Å³/f.u. As for the energy: -3.606 eV/atom.

---

# 2
Here is a geometry-optimized Dy2Zn5NiRh2 structure from Alexandria via LeMat-Bulk. Energies are from PBE.

```
20
Lattice="-3.445 0.897 -0.903 -3.090 -3.272 8.541 1.282 8.772 3.824" Properties=species:S:1:pos:R:3 pbc="T T T"
Dy -1.866 -0.661 6.462
Dy 0.057 6.161 5.903
Dy -0.134 2.252 2.748
Dy -1.675 3.249 9.617
Zn -2.230 0.306 1.343
Zn -3.024 6.091 10.119
Zn -0.844 7.412 3.115
Zn -3.271 2.122 7.118
Zn -4.410 -1.015 8.347
Zn -1.983 4.275 4.344
Zn -2.552 4.658 6.898
Zn -2.701 1.739 4.564
Zn -3.268 -1.187 3.819
Zn -1.081 4.834 1.460
Ni 0.000 0.000 0.000
Ni -0.904 2.750 6.183
Rh 0.412 5.081 3.475
Rh -2.221 0.419 8.890
Rh -0.816 5.614 8.691
Rh -0.992 -0.113 3.674
```

Calculated values
The formation enthalpy at 0 K is -38.2 kJ/mol of atoms. For the density of states at the Fermi level, the calculation gives 12.49 states/eV per cell. For the volume, the calculation gives 171.16 Å³/f.u. As for the energy: -4.002 eV/atom.

---

# 3
Here is a geometry-optimized Pm4ZnRu3 structure from Alexandria via LeMat-Bulk. Energies are from PBE.

```
8
Lattice="-1.177 3.911 -1.187 -3.737 -1.640 -1.696 -4.742 1.348 9.146" Properties=species:S:1:pos:R:3 pbc="T T T"
Ru -4.488 -0.075 4.204
Ru -2.150 0.611 4.146
Ru -5.025 3.217 7.962
Zn -2.750 1.219 -0.876
Pm -4.180 1.625 1.880
Pm -5.898 0.326 6.924
Pm -0.628 0.179 1.212
Pm -3.679 2.834 5.365
```

Calculated values
The formation enthalpy at 0 K is -19.0 kJ/mol of atoms. For the density of states at the Fermi level, the calculation gives 6.67 states/eV per cell. For the volume, the calculation gives 195.31 Å³/f.u. As for the energy: -6.210 eV/atom.